Run i
VASP calculation (SCAN) on a crystal of Sc2InAs relaxed with PBEsol.

a b c (Å): 3.972 3.972 5.615
angles (deg): 90.00 90.00 90.00
Space group P4/mmm (No. 123)
One atom of each set of equivalent atoms:
Sc1 0.000 0.000 0.000 (multiplicity 1)
Sc2 0.500 0.500 0.500 (multiplicity 1)
In1 0.000 0.000 0.500 (multiplicity 1)
As1 0.500 0.500 0.000 (multiplicity 1)

Summary:
**Magnetization**: 0.00 μB per cell
**ρ**: 5.24 Mg/m³
**Volume**: 88.6 Å³ per cell
**Crystal system**: tetragonal

---

Run ii
VASP calculation (SCAN) on a crystal of Sc2InAs relaxed with PBEsol.

a b c (Å): 6.879 6.879 6.879
angles (deg): 90.00 90.00 90.00
Space group Fm-3m (No. 225)
One atom of each set of equivalent atoms:
Sc1 0.250 0.250 0.250 (multiplicity 8)
In1 0.000 0.000 0.000 (multiplicity 4)
As1 0.000 0.000 0.500 (multiplicity 4)

Summary:
**Magnetization**: 0.00 μB per cell
**ρ**: 5.71 Mg/m³
**Volume**: 325.5 Å³ per cell
**Crystal system**: cubic

---

Tell me which of them is the most stable. Sure, it is run i.

---

Run i
VASP calculation (SCAN) on a crystal of InAs2Se relaxed with PBEsol.

a b c (Å): 3.973 3.973 5.497
angles (deg): 90.00 90.00 90.00
Space group P4/mmm (No. 123)
One atom of each set of equivalent atoms:
In1 0.000 0.000 0.000 (multiplicity 1)
As1 0.000 0.000 0.500 (multiplicity 1)
As2 0.500 0.500 0.500 (multiplicity 1)
Se1 0.500 0.500 0.000 (multiplicity 1)

Summary:
**Magnetization**: 0.00 μB per cell
**ρ**: 6.58 Mg/m³
**Volume**: 86.8 Å³ per cell
**Crystal system**: tetragonal

---

Run ii
VASP calculation (SCAN) on a crystal of InAs2Se relaxed with PBEsol.

a b c (Å): 4.876 4.876 3.418
angles (deg): 90.00 90.00 90.00
Space group P4/mmm (No. 123)
One atom of each set of equivalent atoms:
In1 0.000 0.000 0.000 (multiplicity 1)
As1 0.000 0.500 0.500 (multiplicity 2)
Se1 0.500 0.500 0.000 (multiplicity 1)

Summary:
**Magnetization**: 0.00 μB per cell
**ρ**: 7.02 Mg/m³
**Volume**: 81.3 Å³ per cell
**Crystal system**: tetragonal

---

Tell me which of them is the most stable. Sure, it is run i.

---

Run i
VASP calculation (SCAN) on a crystal of TaInAs relaxed with PBEsol.

a b c (Å): 6.410 6.410 6.410
angles (deg): 90.00 90.00 90.00
Space group F-43m (No. 216)
One atom of each set of equivalent atoms:
Ta1 0.000 0.000 0.000 (multiplicity 4)
In1 0.250 0.250 0.750 (multiplicity 4)
As1 0.250 0.250 0.250 (multiplicity 4)

Summary:
**Magnetization**: 0.00 μB per cell
**ρ**: 9.35 Mg/m³
**Volume**: 263.4 Å³ per cell
**Crystal system**: cubic

---

Run ii
VASP calculation (SCAN) on a crystal of TaInAs relaxed with PBEsol.

a b c (Å): 3.362 3.362 9.850
angles (deg): 90.00 90.00 90.00
Space group I4mm (No. 107)
One atom of each set of equivalent atoms:
Ta1 0.000 0.000 0.000 (multiplicity 2)
In1 0.000 0.000 0.306 (multiplicity 2)
As1 0.000 0.000 0.613 (multiplicity 2)

Summary:
**Magnetization**: 0.00 μB per cell
**ρ**: 11.06 Mg/m³
**Volume**: 111.4 Å³ per cell
**Crystal system**: tetragonal

---

Tell me which of them is the most stable. Sure, it is run ii.

---

Run i
VASP calculation (SCAN) on a crystal of TlIn2As relaxed with PBEsol.

a b c (Å): 4.054 4.956 9.850
angles (deg): 90.00 90.00 90.00
Space group Cmm2 (No. 35)
One atom of each set of equivalent atoms:
Tl1 0.000 0.000 0.000 (multiplicity 2)
In1 0.000 0.000 0.545 (multiplicity 2)
In2 0.000 0.500 0.283 (multiplicity 2)
As1 0.000 0.500 0.757 (multiplicity 2)

Summary:
**Magnetization**: 0.00 μB per cell
**ρ**: 8.54 Mg/m³
**Volume**: 197.9 Å³ per cell
**Crystal system**: orthorhombic

---

Run ii
VASP calculation (SCAN) on a crystal of TlIn2As relaxed with PBEsol.

a b c (Å): 3.864 4.596 11.295
angles (deg): 90.00 90.00 90.00
Space group Imm2 (No. 44)
One atom of each set of equivalent atoms:
Tl1 0.000 0.000 0.000 (multiplicity 2)
In1 0.000 0.000 0.416 (multiplicity 2)
In2 0.000 0.500 0.200 (multiplicity 2)
As1 0.000 0.500 0.731 (multiplicity 2)

Summary:
**Magnetization**: 0.00 μB per cell
**ρ**: 8.43 Mg/m³
**Volume**: 200.6 Å³ per cell
**Crystal system**: orthorhombic

---

Tell me which of them is the most stable. Sure, it is run ii.